CeThNbC3: relaxed, PBE-GGA.

Unit cell a=3.754 b=7.481 c=8.097 alpha=95.28 beta=90.00 gamma=90.00
Atoms (fractional coordinates):
1 Ce 0.250 0.621 0.166
2 Ce 0.750 0.379 0.834
3 Th 0.750 0.843 0.835
4 Th 0.250 0.157 0.165
5 Nb 0.250 0.110 0.598
6 Nb 0.750 0.890 0.402
7 C 0.250 0.833 0.500
8 C 0.750 0.897 0.145
9 C 0.750 0.390 0.119
10 C 0.750 0.167 0.500
11 C 0.250 0.610 0.881
12 C 0.250 0.103 0.855

Output
DFT total energy, eV for the cell shown: -102.0
Formation enthalpy at 0 K, eV/atom: 0.016


Tl2H3F6: relaxed, PBE-GGA.

Unit cell a=7.172 b=7.318 c=10.470 alpha=69.78 beta=69.97 gamma=60.66
Atoms (fractional coordinates):
1 Tl 0.344 0.838 0.975
2 Tl 0.843 0.338 0.475
3 Tl 0.656 0.162 0.025
4 Tl 0.157 0.662 0.525
5 H 0.026 0.974 0.750
6 H 0.468 0.250 0.750
7 H 0.750 0.526 0.750
8 H 0.250 0.474 0.250
9 H 0.974 0.026 0.250
10 H 0.532 0.750 0.250
11 F 0.018 0.971 0.863
12 F 0.464 0.150 0.863
13 F 0.648 0.521 0.862
14 F 0.148 0.471 0.363
15 F 0.969 0.021 0.362
16 F 0.524 0.650 0.363
17 F 0.982 0.029 0.137
18 F 0.536 0.850 0.137
19 F 0.352 0.479 0.138
20 F 0.852 0.529 0.637
21 F 0.031 0.979 0.638
22 F 0.476 0.350 0.637

Output
DFT total energy, eV for the cell shown: -88.9


CaScAl2: relaxed, PBE-GGA.

Unit cell a=4.992 b=4.992 c=4.992 alpha=60.00 beta=60.00 gamma=60.00
Atoms (fractional coordinates):
1 Sc 0.500 0.500 0.500
2 Ca 0.000 0.000 0.000
3 Al 0.250 0.250 0.250
4 Al 0.750 0.750 0.750

Output
Offset from the most stable computed form, eV per atom: 0.0673
DFT total energy, eV for the cell shown: -16.8
Formation enthalpy at 0 K, eV/atom: -0.249


TeSe2Cl: relaxed, PBE-GGA.

Unit cell a=5.355 b=7.084 c=13.095 alpha=84.07 beta=90.00 gamma=90.00
Atoms (fractional coordinates):
1 Te 0.014 0.219 0.578
2 Te 0.986 0.781 0.422
3 Te 0.514 0.281 0.922
4 Te 0.486 0.719 0.078
5 Se 0.845 0.944 0.945
6 Se 0.155 0.056 0.055
7 Se 0.345 0.556 0.555
8 Se 0.655 0.444 0.445
9 Se 0.725 0.364 0.083
10 Se 0.275 0.636 0.917
11 Se 0.225 0.136 0.417
12 Se 0.775 0.864 0.583
13 Cl 0.154 0.575 0.210
14 Cl 0.846 0.425 0.790
15 Cl 0.654 0.925 0.290
16 Cl 0.346 0.075 0.710

Output
Offset from the most stable computed form, eV per atom: 0.0000
DFT total energy, eV for the cell shown: -50.1
Energy relative to the elements, uncorrected, eV per atom: -0.142


Which of these has the lowest DFT total energy? CeThNbC3


Which of these has the lowest DFT total energy? CeThNbC3


DFT total energy of number 1 (CeThNbC3)? -102.0 eV for the cell shown


What did the third record say?
CaScAl2: relaxed, PBE-GGA.

Unit cell a=4.992 b=4.992 c=4.992 alpha=60.00 beta=60.00 gamma=60.00
Atoms (fractional coordinates):
1 Sc 0.500 0.500 0.500
2 Ca 0.000 0.000 0.000
3 Al 0.250 0.250 0.250
4 Al 0.750 0.750 0.750

Output
Offset from the most stable computed form, eV per atom: 0.0673
DFT total energy, eV for the cell shown: -16.8
Formation enthalpy at 0 K, eV/atom: -0.249